1.
Density functional theory data (PBE) for an optimized crystal structure of NaSnAu.

a = 4.727 Å, b = 4.727 Å, c = 4.727 Å
α = 60.00°, β = 60.00°, γ = 60.00°
Sites, in units of the cell vectors:
Na  0.000  0.000  0.000
Sn  0.750  0.750  0.750
Au  0.250  0.250  0.250

Properties
Space-group type: F-43m
Final energy in eV/atom: -2.7027



2.
Density functional theory data (PBE) for an optimized crystal structure of NaSnAu.

a = 7.433 Å, b = 7.433 Å, c = 4.392 Å
α = 90.00°, β = 90.00°, γ = 120.00°
Sites, in units of the cell vectors:
Au  0.333  0.667  0.000
Na  0.412  0.412  0.500
Sn  0.255  0.000  0.000
Sn  0.745  0.745  0.000
Na  0.588  0.000  0.500
Au  0.000  0.000  0.500
Na  0.000  0.588  0.500
Au  0.667  0.333  0.000
Sn  0.000  0.255  0.000

Properties
Space-group type: P-62m
Final energy in eV/atom: -3.2014



3.
Density functional theory data (PBE) for an optimized crystal structure of NaSn4Au2.

a = 6.783 Å, b = 6.783 Å, c = 4.632 Å
α = 105.31°, β = 105.31°, γ = 59.16°
Sites, in units of the cell vectors:
Sn  0.607  0.111  0.361
Na  0.000  0.000  0.000
Sn  0.889  0.393  0.639
Sn  0.111  0.607  0.361
Au  0.364  0.364  0.871
Sn  0.393  0.889  0.639
Au  0.636  0.636  0.129

Properties
Space-group type: C2/m
Final energy in eV/atom: -3.5480



4.
Density functional theory data (PBE) for an optimized crystal structure of NaSnAu.

a = 4.731 Å, b = 4.731 Å, c = 4.731 Å
α = 60.00°, β = 60.00°, γ = 60.00°
Sites, in units of the cell vectors:
Au  0.000  0.000  0.000
Na  0.250  0.250  0.250
Sn  0.750  0.750  0.750

Properties
Space-group type: F-43m
Final energy in eV/atom: -3.1117



5.
Density functional theory data (PBE) for an optimized crystal structure of Na6Sn2Au.

a = 10.501 Å, b = 10.501 Å, c = 10.501 Å
α = 29.62°, β = 29.62°, γ = 29.62°
Sites, in units of the cell vectors:
Au  0.000  0.000  0.000
Na  0.577  0.577  0.577
Na  0.807  0.807  0.807
Na  0.193  0.193  0.193
Sn  0.088  0.088  0.088
Sn  0.912  0.912  0.912
Na  0.698  0.698  0.698
Na  0.423  0.423  0.423
Na  0.302  0.302  0.302

Properties
Space-group type: R-3m
Final energy in eV/atom: -2.3639



6.
Density functional theory data (PBE) for an optimized crystal structure of NaSnAu.

a = 8.216 Å, b = 8.216 Å, c = 3.293 Å
α = 90.00°, β = 90.00°, γ = 120.00°
Sites, in units of the cell vectors:
Na  0.700  0.700  0.000
Sn  0.000  0.000  0.500
Sn  0.333  0.667  0.000
Au  0.641  0.000  0.500
Sn  0.667  0.333  0.000
Na  0.300  0.000  0.000
Au  0.359  0.359  0.500
Au  0.000  0.641  0.500
Na  0.000  0.300  0.000

Properties
Space-group type: P-62m
Final energy in eV/atom: -2.9953



7.
Density functional theory data (PBE) for an optimized crystal structure of NaSnAu.

a = 7.168 Å, b = 7.168 Å, c = 4.705 Å
α = 90.00°, β = 90.00°, γ = 120.00°
Sites, in units of the cell vectors:
Na  0.558  0.000  0.500
Au  0.241  0.000  0.000
Na  0.442  0.442  0.500
Sn  0.333  0.667  0.000
Na  0.000  0.558  0.500
Sn  0.000  0.000  0.500
Au  0.759  0.759  0.000
Sn  0.667  0.333  0.000
Au  0.000  0.241  0.000

Properties
Space-group type: P-62m
Final energy in eV/atom: -3.0821



8.
Density functional theory data (PBE) for an optimized crystal structure of NaSnAu.

a = 7.477 Å, b = 4.600 Å, c = 8.294 Å
α = 90.00°, β = 90.00°, γ = 90.00°
Sites, in units of the cell vectors:
Na  0.982  0.750  0.175
Na  0.018  0.250  0.825
Sn  0.838  0.750  0.561
Sn  0.338  0.750  0.939
Sn  0.662  0.250  0.061
Au  0.713  0.750  0.874
Au  0.787  0.250  0.374
Au  0.213  0.750  0.626
Na  0.518  0.250  0.675
Au  0.287  0.250  0.126
Sn  0.162  0.250  0.439
Na  0.482  0.750  0.325

Properties
Space-group type: Pnma
Final energy in eV/atom: -3.2320